The following is a DFT calculation (PBE) of an optimized crystal structure of Cd2Sn2S. Values from VASP.

Structure (Quantum ESPRESSO input):
```
&SYSTEM
  ibrav = 0, nat = 10, ntyp = 3
/
ATOMIC_SPECIES
Cd 112.41 Cd.upf
Sn 118.71 Sn.upf
S 32.06 S.upf
ATOMIC_POSITIONS crystal
Cd 0.353 0.147 0.500
Cd 0.147 0.647 0.500
Cd 0.647 0.853 0.500
Cd 0.853 0.353 0.500
Sn 0.331 0.831 0.000
Sn 0.169 0.331 0.000
Sn 0.831 0.669 0.000
Sn 0.669 0.169 0.000
S 0.000 0.000 0.000
S 0.500 0.500 0.000
CELL_PARAMETERS angstrom
-3.751 -5.340 -3.749
6.007 -4.514 0.419
-1.585 -1.734 4.055
```

## Properties
E above lowest polymorph: 0 kJ/mol of formula units
DOS(E_F): 0.561 states/eV per atom
E_form (uncorrected): 1.3 kcal/mol of atoms
Spin magnetization: 0.000 μB/f.u.

---

The following is a DFT calculation (PBE) of an optimized crystal structure of Sc2CuSn. Values from VASP.

Structure (Quantum ESPRESSO input):
```
&SYSTEM
  ibrav = 0, nat = 8, ntyp = 3
/
ATOMIC_SPECIES
Sc 44.96 Sc.upf
Cu 63.55 Cu.upf
Sn 118.71 Sn.upf
ATOMIC_POSITIONS crystal
Sc 0.163 0.625 0.250
Sc 0.375 0.413 0.750
Sc 0.587 0.125 0.250
Sc 0.875 0.837 0.750
Cu 0.500 0.500 0.000
Cu 0.250 0.750 0.500
Sn 0.750 0.250 0.500
Sn 0.000 0.000 0.000
CELL_PARAMETERS angstrom
7.497 0.000 0.000
0.000 7.497 0.000
3.748 3.748 3.099
```

## Properties
DOS(E_F): 0.764 states/eV per atom
Formation enthalpy at 0 K: -47 kJ/mol of formula units
Spin magnetization: 0.000 μB/f.u.

---

The following is a DFT calculation (PBE) of an optimized crystal structure of HfCoRu2C. Values from VASP.

Structure (Quantum ESPRESSO input):
```
&SYSTEM
  ibrav = 0, nat = 5, ntyp = 4
/
ATOMIC_SPECIES
Co 58.93 Co.upf
Ru 101.07 Ru.upf
C 12.01 C.upf
Hf 178.49 Hf.upf
ATOMIC_POSITIONS crystal
Co 0.000 0.000 0.500
Ru 0.000 0.500 0.000
Ru 0.500 0.000 0.000
C 0.000 0.000 0.000
Hf 0.500 0.500 0.500
CELL_PARAMETERS angstrom
-1.883 1.711 3.215
0.944 -3.267 2.291
3.294 1.678 1.036
```

## Properties
DOS(E_F): 0.637 states/eV per atom
Formation enthalpy at 0 K: -156 kJ/mol of formula units
Spin magnetization: 0.635 μB/f.u.

---

The following is a DFT calculation (PBE) of an optimized crystal structure of AlCdCl2. Values from VASP.

Structure (Quantum ESPRESSO input):
```
&SYSTEM
  ibrav = 0, nat = 4, ntyp = 3
/
ATOMIC_SPECIES
Cl 35.45 Cl.upf
Cd 112.41 Cd.upf
Al 26.98 Al.upf
ATOMIC_POSITIONS crystal
Cl 0.000 0.000 0.000
Cl 0.500 0.500 0.000
Cd 0.000 0.500 0.500
Al 0.500 0.000 0.500
CELL_PARAMETERS angstrom
3.884 0.000 0.000
0.000 6.308 0.000
0.000 0.000 4.154
```

## Properties
E above lowest polymorph: 150 kJ/mol of formula units
DOS(E_F): 0.470 states/eV per atom
E_form (uncorrected): -6.8 kcal/mol of atoms
Spin magnetization: 0.000 μB/f.u.